# 1
Here is a crystal of Tc2Bi2O relaxed with PBEsol from Alexandria. Energies are from SCAN.

Its size of the total moment is 0.203 μB per atom. The calculation puts the total energy at -46.4880 eV/atom.

Cell lengths 5.589, 5.589, 6.212 Å; angles 90.00, 90.00, 90.00 degrees
Space group I4/mmm (No. 139)
Unique sites:
1 Tc 0.000 0.000 0.179 (multiplicity 4)
2 Bi 0.000 0.500 0.250 (multiplicity 4)
3 O 0.000 0.000 0.500 (multiplicity 2)


# 2
Here is a crystal of BiTeO2 relaxed with PBEsol from Alexandria. Energies are from SCAN.

Its polymorph energy (0 for the lowest one) is 0 meV per atom. Its size of the total moment is 0.000 μB per atom.

Cell lengths 3.6504, 3.6504, 20.0787 Å; angles 90.00, 90.00, 120.00 degrees
Space group R-3m (No. 166, hexagonal axes)
Unique sites:
1 Bi 0.0000 0.0000 0.0000 (multiplicity 3)
2 Te 0.0000 0.0000 0.5000 (multiplicity 3)
3 O 0.0000 0.0000 0.3899 (multiplicity 6)